{"formula": "InPd3Pt3", "functional": "GGA-PBE", "state": "relaxed", "lattice_angstrom": [[-3.244, 1.438, -3.089], [-4.457, -5.599, 2.075], [-0.406, 6.573, 3.486]], "species": ["In", "In", "Pd", "Pd", "Pd", "Pd", "Pd", "Pd", "Pt", "Pt", "Pt", "Pt", "Pt", "Pt"], "frac_coords": [[0.250, 0.667, 0.333], [0.750, 0.333, 0.667], [0.750, 0.763, 0.956], [0.750, 0.193, 0.237], [0.250, 0.956, 0.193], [0.750, 0.044, 0.807], [0.250, 0.807, 0.763], [0.250, 0.237, 0.044], [0.750, 0.910, 0.378], [0.750, 0.467, 0.090], [0.250, 0.378, 0.467], [0.750, 0.622, 0.533], [0.250, 0.533, 0.910], [0.250, 0.090, 0.622]], "polymorph_energy_ev_per_atom": 0.000, "total_magnetization_mub_per_fu": 0.00, "formation_enthalpy_0k_ev_per_atom": -0.187}